Entry 1:
A plane-wave DFT calculation with PBE-GGA was carried out for crystalline CaMg2Fe2 at its relaxed geometry.

Energy of formation, kJ/mol of formula units: 146
Total energy, eV for the cell shown: -41.20
Total magnetization, μB per formula unit: 4.35
Space-group type: No. 127

Lattice parameters (Å, degrees): 7.9121 7.9121 3.0162 90.00 90.00 90.00
Last column: nearest neighbours and their distance in Å.
Fractional coordinates of all 10 atoms:
Ca1 0.0000 0.0000 0.0000  2 Ca 3.02, 4 Fe 3.22, 8 Mg 3.28
Ca2 0.5000 0.5000 0.0000  2 Ca 3.02, 4 Fe 3.22, 8 Mg 3.28
Mg1 0.1777 0.3223 0.5000  6 Fe 2.77-2.84, 2 Mg 3.02
Mg2 0.3223 0.8223 0.5000  6 Fe 2.77-2.84, 2 Mg 3.02
Mg3 0.6777 0.1777 0.5000  6 Fe 2.77-2.84, 2 Mg 3.02
Mg4 0.8223 0.6777 0.5000  6 Fe 2.77-2.84, 2 Mg 3.02
Fe1 0.1069 0.6069 0.0000  1 Fe 2.39
Fe2 0.3931 0.1069 0.0000  1 Fe 2.39
Fe3 0.6069 0.8931 0.0000  1 Fe 2.39
Fe4 0.8931 0.3931 0.0000  1 Fe 2.39

=====

Entry 2:
A plane-wave DFT calculation with PBE-GGA was carried out for crystalline CaMg2Fe at its relaxed geometry.

Energy of formation, kJ/mol of formula units: 156
Total energy, eV for the cell shown: -12.03
Total magnetization, μB per formula unit: 2.52
Space-group type: No. 160

Lattice parameters (Å, degrees): 10.3427 10.3427 10.3427 17.75 17.75 17.75
Last column: nearest neighbours and their distance in Å.
Fractional coordinates of all 4 atoms:
Ca1 0.0000 0.0000 0.0000  3 Fe 2.97, 6 Ca 3.19
Mg1 0.5212 0.5212 0.5212  3 Fe 2.80
Mg2 0.7650 0.7650 0.7650  9 Mg 3.19-3.30, 3 Ca 3.52
Fe1 0.2569 0.2569 0.2569  3 Mg 2.80, 3 Ca 2.97

=====

Entry 3:
A plane-wave DFT calculation with PBE-GGA was carried out for crystalline Ca4MgFe at its relaxed geometry.

Energy of formation, kJ/mol of formula units: 432
Total energy, eV for the cell shown: -13.59
Total magnetization, μB per formula unit: 2.74
Space-group type: No. 216

Lattice parameters (Å, degrees): 6.6377 6.6377 6.6377 60.00 60.00 60.00
Last column: nearest neighbours and their distance in Å.
Fractional coordinates of all 6 atoms:
Ca1 0.1243 0.1243 0.1243  6 Ca 3.30-3.34
Ca2 0.1243 0.1243 0.6271  6 Ca 3.30-3.34
Ca3 0.1243 0.6271 0.1243  6 Ca 3.30-3.34
Ca4 0.6271 0.1243 0.1243  6 Ca 3.30-3.34
Mg1 0.5000 0.5000 0.5000  12 Ca 3.89, 4 Fe 4.06
Fe1 0.7500 0.7500 0.7500  12 Ca 3.89, 4 Mg 4.06